(1)
DFT (PBE) results for an optimized crystal structure of Ta2Ru.

Computed properties:
The density comes out at 14.53 g/cm³. Its space group is P6_3/mmc, No. 194. Its formation energy is 0.48 eV/atom. The value obtained for the total magnetization is 0.000 μB per formula unit.

CIF file:
```
data_Ta2Ru
_symmetry_space_group_name_H-M 'P 1'
_symmetry_Int_Tables_number 1
_symmetry_space_group_name_Hall 'P 1'
_cell_length_a 5.319
_cell_length_b 5.319
_cell_length_c 8.639
_cell_angle_alpha 90.00
_cell_angle_beta 90.00
_cell_angle_gamma 120.00
loop_
_atom_site_label
_atom_site_type_symbol
_atom_site_fract_x
_atom_site_fract_y
_atom_site_fract_z
Ta1 Ta 0.000 0.000 0.000
Ta2 Ta 0.000 0.000 0.500
Ta3 Ta 0.170 0.339 0.250
Ta4 Ta 0.170 0.830 0.250
Ta5 Ta 0.339 0.170 0.750
Ta6 Ta 0.661 0.830 0.250
Ta7 Ta 0.830 0.170 0.750
Ta8 Ta 0.830 0.661 0.750
Ru1 Ru 0.333 0.667 0.543
Ru2 Ru 0.333 0.667 0.957
Ru3 Ru 0.667 0.333 0.043
Ru4 Ru 0.667 0.333 0.457
```

(2)
DFT (PBE) results for an optimized crystal structure of Pm6Sb3F.

Computed properties:
The density comes out at 6.59 g/cm³. Its space group is Cmc2_1, No. 36. The value obtained for the total magnetization is 0.000 μB per formula unit. The energy relative to the elements, uncorrected is -1.1050 eV/atom.

CIF file:
```
data_Pm6Sb3F
_symmetry_space_group_name_H-M 'P 1'
_symmetry_Int_Tables_number 1
_symmetry_space_group_name_Hall 'P 1'
_cell_length_a 9.501
_cell_length_b 9.501
_cell_length_c 7.149
_cell_angle_alpha 90.00
_cell_angle_beta 90.00
_cell_angle_gamma 101.58
loop_
_atom_site_label
_atom_site_type_symbol
_atom_site_fract_x
_atom_site_fract_y
_atom_site_fract_z
Pm1 Pm 0.051 0.949 0.500
Pm2 Pm 0.097 0.561 0.457
Pm3 Pm 0.238 0.762 0.941
Pm4 Pm 0.296 0.367 0.961
Pm5 Pm 0.367 0.296 0.461
Pm6 Pm 0.439 0.903 0.457
Pm7 Pm 0.561 0.097 0.957
Pm8 Pm 0.633 0.704 0.961
Pm9 Pm 0.704 0.633 0.461
Pm10 Pm 0.762 0.238 0.441
Pm11 Pm 0.903 0.439 0.957
Pm12 Pm 0.949 0.051 0.000
Sb1 Sb 0.060 0.266 0.664
Sb2 Sb 0.266 0.060 0.164
Sb3 Sb 0.395 0.605 0.259
Sb4 Sb 0.605 0.395 0.759
Sb5 Sb 0.734 0.940 0.664
Sb6 Sb 0.940 0.734 0.164
F1 F 0.205 0.795 0.608
F2 F 0.795 0.205 0.108
```

Question: What is the total magnetization in the second record?
Answer: 0.000 μB per formula unit

Question: Which value of total magnetization does entry 1 give?
Answer: 0.000 μB per formula unit